# 1
DFT (PBE-GGA) results for a relaxed structure of MgSc2Zn.

Summary:
symmetry	Imm2 (44)

Lattice parameters (Å, degrees): 5.919 5.919 5.919 147.38 130.09 60.91
Last column: magnetic moment on the atom in μB.
Element x y z (fractional)
Mg1 0.280 0.780 0.500  0.00
Sc1 0.724 0.224 0.500  0.22
Sc2 0.003 0.003 0.000  0.27
Zn1 0.494 0.494 0.000  0.01


# 2
DFT (PBE-GGA) results for a relaxed structure of MgSc3Zn.

Summary:
symmetry	Cmcm (63)

Lattice parameters (Å, degrees): 4.748 4.744 9.871 90.00 76.09 90.00
Element x y z (fractional)
Mg1 0.479 0.750 0.691
Mg2 0.170 0.250 0.309
Zn1 0.665 0.750 0.317
Zn2 0.983 0.250 0.683
Sc1 0.075 0.750 0.499
Sc2 0.382 0.250 0.885
Sc3 0.764 0.250 0.121
Sc4 0.574 0.250 0.501
Sc5 0.885 0.750 0.879
Sc6 0.267 0.750 0.115


# 3
DFT (PBE-GGA) results for a relaxed structure of MgSc2Zn3.

Summary:
symmetry	P4/mmm (123)

Lattice parameters (Å, degrees): 3.326 3.326 10.025 90.00 90.00 90.00
Element x y z (fractional)
Sc1 0.500 0.500 0.833
Sc2 0.500 0.500 0.167
Zn1 0.000 0.000 0.000
Zn2 0.000 0.000 0.332
Zn3 0.000 0.000 0.668
Mg1 0.500 0.500 0.500


# 4
DFT (PBE-GGA) results for a relaxed structure of MgScZn6.

Summary:
symmetry	Amm2 (38)

Lattice parameters (Å, degrees): 4.332 5.734 5.734 111.43 90.00 90.00
Element x y z (fractional)
Zn1 0.000 0.570 0.430
Zn2 0.000 0.635 0.946
Zn3 0.500 0.927 0.073
Zn4 0.500 0.862 0.548
Zn5 0.500 0.452 0.138
Zn6 0.000 0.054 0.365
Mg1 0.000 0.120 0.880
Sc1 0.500 0.379 0.621


# 5
DFT (PBE-GGA) results for a relaxed structure of Mg6ScZn6.

Summary:
symmetry	Immm (71)

Lattice parameters (Å, degrees): 5.420 7.167 7.167 82.80 67.78 67.78
Element x y z (fractional)
Mg1 0.313 0.187 0.187
Mg2 0.657 0.343 0.343
Mg3 0.000 0.656 0.344
Mg4 0.687 0.813 0.813
Mg5 0.343 0.657 0.657
Mg6 0.000 0.344 0.656
Zn1 0.500 0.500 0.000
Zn2 0.500 0.000 0.500
Zn3 0.000 0.000 0.500
Zn4 0.500 0.228 0.772
Zn5 0.500 0.772 0.228
Zn6 0.000 0.500 0.000
Sc1 0.000 0.000 0.000


# 6
DFT (PBE-GGA) results for a relaxed structure of MgSc2Zn.

Summary:
symmetry	I-42d (122)

Lattice parameters (Å, degrees): 7.821 7.821 6.282 51.50 51.50 90.00
Element x y z (fractional)
Zn1 0.750 0.250 0.500
Zn2 0.000 0.000 0.000
Sc1 0.088 0.625 0.250
Sc2 0.375 0.338 0.750
Sc3 0.875 0.912 0.750
Sc4 0.662 0.125 0.250
Mg1 0.500 0.500 0.000
Mg2 0.250 0.750 0.500


# 7
DFT (PBE-GGA) results for a relaxed structure of MgSc2Zn.

Summary:
symmetry	P4/mmm (123)

Lattice parameters (Å, degrees): 3.348 3.348 7.535 90.00 90.00 90.00
Element x y z (fractional)
Sc1 0.000 0.000 0.218
Sc2 0.000 0.000 0.782
Zn1 0.500 0.500 0.000
Mg1 0.500 0.500 0.500


# 8
DFT (PBE-GGA) results for a relaxed structure of MgScZn3.

Summary:
symmetry	Cmcm (63)

Lattice parameters (Å, degrees): 4.408 3.154 12.905 97.02 90.00 90.00
Element x y z (fractional)
Zn1 0.750 0.327 0.654
Zn2 0.250 0.378 0.756
Zn3 0.750 0.524 0.048
Zn4 0.250 0.476 0.952
Zn5 0.250 0.673 0.346
Zn6 0.750 0.622 0.244
Sc1 0.750 0.926 0.852
Sc2 0.250 0.074 0.148
Mg1 0.250 0.784 0.569
Mg2 0.750 0.216 0.431


# 9
DFT (PBE-GGA) results for a relaxed structure of MgSc2Zn.

Summary:
symmetry	P-3m1 (164)

Lattice parameters (Å, degrees): 3.270 3.270 9.577 89.99 89.99 60.00
Element x y z (fractional)
Sc1 0.292 0.292 0.227
Sc2 0.958 0.958 0.773
Zn1 0.625 0.625 0.000
Mg1 0.625 0.625 0.500


# 10
DFT (PBE-GGA) results for a relaxed structure of MgScZn2.

Summary:
symmetry	Imm2 (44)

Lattice parameters (Å, degrees): 5.637 5.637 5.637 146.27 130.38 61.34
Element x y z (fractional)
Mg1 0.514 0.514 0.000
Zn1 0.771 0.271 0.500
Zn2 0.981 0.981 0.000
Sc1 0.234 0.734 0.500


# 11
DFT (PBE-GGA) results for a relaxed structure of Mg14ScZn.

Summary:
symmetry	Cmmm (65)

Lattice parameters (Å, degrees): 6.532 6.532 8.460 90.00 90.00 90.08
Element x y z (fractional)
Mg1 0.375 0.875 0.000
Mg2 0.622 0.622 0.745
Mg3 0.375 0.375 0.000
Mg4 0.375 0.875 0.500
Mg5 0.875 0.875 0.000
Mg6 0.128 0.622 0.745
Mg7 0.875 0.375 0.000
Mg8 0.128 0.128 0.745
Mg9 0.622 0.128 0.255
Mg10 0.622 0.128 0.745
Mg11 0.128 0.128 0.255
Mg12 0.128 0.622 0.255
Mg13 0.622 0.622 0.255
Mg14 0.875 0.375 0.500
Zn1 0.375 0.375 0.500
Sc1 0.875 0.875 0.500


# 12
DFT (PBE-GGA) results for a relaxed structure of MgScZn2.

Summary:
symmetry	P4mm (99)

Lattice parameters (Å, degrees): 3.108 3.108 7.695 90.00 90.00 90.00
Last column: magnetic moment on the atom in μB.
Element x y z (fractional)
Sc1 0.500 0.500 0.780  0.21
Zn1 0.000 0.000 0.026  0.00
Zn2 0.500 0.500 0.225  0.00
Mg1 0.000 0.000 0.469  0.00


# 13
DFT (PBE-GGA) results for a relaxed structure of MgSc5Zn.

Summary:
symmetry	C2/c (15)

Lattice parameters (Å, degrees): 6.043 6.043 10.994 71.80 71.80 89.77
Element x y z (fractional)
Sc1 0.375 0.247 0.782
Sc2 0.578 0.239 0.016
Sc3 0.889 0.111 0.750
Sc4 0.761 0.422 0.484
Sc5 0.753 0.625 0.718
Sc6 0.625 0.753 0.218
Sc7 0.239 0.578 0.516
Sc8 0.422 0.761 0.984
Sc9 0.247 0.375 0.282
Sc10 0.111 0.889 0.250
Zn1 0.000 0.000 0.500
Zn2 0.000 0.000 0.000
Mg1 0.754 0.246 0.250
Mg2 0.246 0.754 0.750


# 14
DFT (PBE-GGA) results for a relaxed structure of MgScZn.

Summary:
symmetry	Cmcm (63)

Lattice parameters (Å, degrees): 3.342 4.888 7.526 90.00 102.83 90.00
Element x y z (fractional)
Sc1 0.074 0.250 0.149
Sc2 0.926 0.750 0.851
Zn1 0.414 0.250 0.829
Zn2 0.586 0.750 0.171
Mg1 0.238 0.750 0.477
Mg2 0.762 0.250 0.523


# 15
DFT (PBE-GGA) results for a relaxed structure of MgSc3Zn.

Summary:
symmetry	Pm-3m (221)

Lattice parameters (Å, degrees): 5.203 5.203 5.203 90.00 90.00 90.00
Last column: magnetic moment on the atom in μB.
Element x y z (fractional)
Sc1 0.500 0.000 0.000  0.10
Sc2 0.000 0.500 0.000  0.17
Sc3 0.000 0.000 0.500  0.18
Zn1 0.500 0.500 0.500  0.01
Mg1 0.000 0.000 0.000  0.01


# 16
DFT (PBE-GGA) results for a relaxed structure of MgSc2Zn.

Summary:
symmetry	R-3m (166)

Lattice parameters (Å, degrees): 9.669 9.669 9.669 19.59 19.59 19.59
Element x y z (fractional)
Sc1 0.993 0.993 0.993
Sc2 0.507 0.507 0.507
Mg1 0.750 0.750 0.750
Zn1 0.250 0.250 0.250


# 17
DFT (PBE-GGA) results for a relaxed structure of MgScZn.

Summary:
symmetry	P6_3/mmc (194)

Lattice parameters (Å, degrees): 4.802 4.802 5.866 90.00 90.00 120.02
Element x y z (fractional)
Zn1 0.667 0.833 0.750
Zn2 0.333 0.167 0.250
Sc1 0.667 0.833 0.250
Sc2 0.333 0.167 0.750
Mg1 0.000 0.500 0.000
Mg2 0.000 0.500 0.500


# 18
DFT (PBE-GGA) results for a relaxed structure of MgScZn2.

Summary:
symmetry	I-42d (122)

Lattice parameters (Å, degrees): 7.389 7.389 6.034 52.25 52.25 90.00
Element x y z (fractional)
Sc1 0.000 0.000 0.000
Sc2 0.750 0.250 0.500
Mg1 0.250 0.750 0.500
Mg2 0.500 0.500 0.000
Zn1 0.875 0.865 0.750
Zn2 0.375 0.385 0.750
Zn3 0.615 0.125 0.250
Zn4 0.135 0.625 0.250


# 19
DFT (PBE-GGA) results for a relaxed structure of MgSc2Zn.

Summary:
symmetry	C2/m (12)

Lattice parameters (Å, degrees): 5.232 5.232 5.511 78.39 78.39 36.40
Element x y z (fractional)
Sc1 0.489 0.489 0.513
Sc2 0.011 0.011 0.987
Mg1 0.250 0.250 0.250
Zn1 0.750 0.750 0.750


# 20
DFT (PBE-GGA) results for a relaxed structure of Mg9Sc11Zn4.

Summary:
symmetry	Cmmm (65)

Lattice parameters (Å, degrees): 3.525 12.710 12.710 112.69 90.00 90.00
Element x y z (fractional)
Zn1 0.500 0.258 0.452
Zn2 0.500 0.742 0.548
Zn3 0.500 0.452 0.258
Zn4 0.500 0.548 0.742
Sc1 0.000 0.158 0.842
Sc2 0.000 0.842 0.158
Sc3 0.000 0.415 0.075
Sc4 0.000 0.638 0.362
Sc5 0.000 0.585 0.925
Sc6 0.000 0.925 0.585
Sc7 0.000 0.000 0.000
Sc8 0.000 0.362 0.638
Sc9 0.000 0.293 0.293
Sc10 0.000 0.075 0.415
Sc11 0.000 0.707 0.707
Mg1 0.500 0.936 0.786
Mg2 0.500 0.500 0.500
Mg3 0.500 0.632 0.146
Mg4 0.500 0.146 0.632
Mg5 0.500 0.786 0.936
Mg6 0.500 0.854 0.368
Mg7 0.500 0.214 0.064
Mg8 0.500 0.368 0.854
Mg9 0.500 0.064 0.214


# 21
DFT (PBE-GGA) results for a relaxed structure of MgScZn2.

Summary:
symmetry	C2/m (12)

Lattice parameters (Å, degrees): 4.755 4.755 5.618 79.84 79.84 38.54
Element x y z (fractional)
Mg1 0.750 0.750 0.750
Zn1 0.501 0.501 0.505
Zn2 0.999 0.999 0.995
Sc1 0.250 0.250 0.250


# 22
DFT (PBE-GGA) results for a relaxed structure of MgSc2Zn.

Summary:
symmetry	Pm (6)

Lattice parameters (Å, degrees): 4.614 3.257 5.872 76.28 90.00 90.00
Element x y z (fractional)
Sc1 0.000 0.956 0.974
Sc2 0.500 0.287 0.290
Zn1 0.000 0.687 0.481
Mg1 0.500 0.569 0.754


# 23
DFT (PBE-GGA) results for a relaxed structure of MgSc5Zn3.

Summary:
symmetry	P6_3/mcm (193)

Lattice parameters (Å, degrees): 6.099 8.336 8.334 120.01 90.00 90.00
Element x y z (fractional)
Sc1 0.000 0.333 0.667
Sc2 0.250 0.323 0.323
Sc3 0.250 0.000 0.677
Sc4 0.000 0.667 0.333
Sc5 0.750 0.323 0.000
Sc6 0.500 0.667 0.333
Sc7 0.750 0.677 0.677
Sc8 0.500 0.333 0.667
Sc9 0.250 0.677 0.000
Sc10 0.750 0.000 0.323
Zn1 0.250 0.347 0.000
Zn2 0.750 0.000 0.653
Zn3 0.250 0.000 0.347
Zn4 0.250 0.653 0.653
Zn5 0.750 0.347 0.347
Zn6 0.750 0.653 0.000
Mg1 0.500 0.000 0.000
Mg2 0.000 0.000 0.000


# 24
DFT (PBE-GGA) results for a relaxed structure of MgSc2Zn.

Summary:
symmetry	Immm (71)

Lattice parameters (Å, degrees): 6.773 6.773 6.773 50.86 152.75 137.92
Element x y z (fractional)
Sc1 0.000 0.280 0.280
Sc2 0.000 0.720 0.720
Mg1 0.000 0.000 0.000
Zn1 0.000 0.500 0.500


In eV/atom, the raw total energy values for the records above are, in order, -4.0048 -4.5020 -3.3016 -2.1346 -1.9293 -3.6901 -4.0890 -2.6054 -3.9569 -2.7695 -1.8624 -2.7632 -4.7327 -3.2525 -3.5204 -3.9513 -3.3152 -2.5240 -3.9324 -3.8480 -2.7170 -3.9894 -4.3437 -3.5741.